# PmPr3Ga

PmPr3Ga after structural relaxation (GGA-PBE, the Alexandria database).

POSCAR file:
```
PmPr3Ga
1.0
3.787 0.000 0.000
0.005 8.789 0.000
1.887 2.284 9.566
Pm Pr Ga
2 6 2
direct
0.094 0.041 0.315 Pm
0.906 0.959 0.685 Pm
0.303 0.178 0.894 Pr
0.314 0.621 0.870 Pr
0.498 0.303 0.500 Pr
0.502 0.697 0.500 Pr
0.686 0.379 0.130 Pr
0.697 0.822 0.106 Pr
0.106 0.569 0.289 Ga
0.894 0.431 0.711 Ga
```

## Properties
relative energy among the computed polymorphs	0	meV/atom
formation enthalpy at 0 K	-192	meV per atom
symmetry	P-1 (2)
total energy	-23.076	eV per formula unit